No. 1
{
  "formula": "ZnCd2P",
  "functional": "GGA-PBE",
  "state": "relaxed",
  "lattice": [[3.060, 2.181, 3.849], [-2.754, 1.639, 4.321], [0.192, -4.550, -2.863]],
  "species": ["Zn", "Cd", "Cd", "P"],
  "frac_coords": [[0.750, 0.250, 0.500], [0.000, 0.000, 0.000], [0.250, 0.750, 0.500], [0.500, 0.500, 0.000]],
  "density_g_cm3": 6.9,
  "relative_energy_kj_per_mol_atoms": 14.3,
  "e_form_ev_per_fu": 1.0,
  "dos_ef_per_ev_fu": 1.79,
  "energy_ev_per_atom": -1.882
}

---

No. 2
{
  "formula": "TiMnP2",
  "functional": "GGA-PBE",
  "state": "relaxed",
  "lattice": [[5.495, 0.000, 0.000], [0.000, 5.495, 0.000], [2.747, 2.747, 5.406]],
  "species": ["Mn", "Ti", "P", "Mn", "P", "Ti", "P", "P"],
  "frac_coords": [[0.750, 0.250, 0.500], [0.250, 0.750, 0.500], [0.875, 0.887, 0.750], [0.000, 0.000, 0.000], [0.637, 0.125, 0.250], [0.500, 0.500, 0.000], [0.113, 0.625, 0.250], [0.375, 0.363, 0.750]],
  "density_g_cm3": 3.4,
  "relative_energy_kj_per_mol_atoms": 33.9,
  "e_form_ev_per_fu": -0.9,
  "dos_ef_per_ev_fu": 3.41,
  "energy_ev_per_atom": -7.203
}

---

Please write out number 2 again, unchanged.
{
  "formula": "TiMnP2",
  "functional": "GGA-PBE",
  "state": "relaxed",
  "lattice": [[5.495, 0.000, 0.000], [0.000, 5.495, 0.000], [2.747, 2.747, 5.406]],
  "species": ["Mn", "Ti", "P", "Mn", "P", "Ti", "P", "P"],
  "frac_coords": [[0.750, 0.250, 0.500], [0.250, 0.750, 0.500], [0.875, 0.887, 0.750], [0.000, 0.000, 0.000], [0.637, 0.125, 0.250], [0.500, 0.500, 0.000], [0.113, 0.625, 0.250], [0.375, 0.363, 0.750]],
  "density_g_cm3": 3.4,
  "relative_energy_kj_per_mol_atoms": 33.9,
  "e_form_ev_per_fu": -0.9,
  "dos_ef_per_ev_fu": 3.41,
  "energy_ev_per_atom": -7.203
}